[1]
A plane-wave DFT calculation with GGA-PBEsol was carried out for a geometry-optimized Sr2ReSe structure.

Properties
Size of the total moment in μB per formula unit: 2.83
ΔE_f (raw) in eV per formula unit: 0.922

Cell: 5.3452 5.3452 3.6000 Å, 90.00 90.00 90.00°
Space group P4/mmm (No. 123)
One atom of each set of equivalent atoms:
Sr  0.0000  0.5000  0.0000 x2
Re  0.0000  0.0000  0.5000 x1
Se  0.5000  0.5000  0.5000 x1


[2]
A plane-wave DFT calculation with GGA-PBEsol was carried out for a geometry-optimized SrRe2Se structure.

Properties
Size of the total moment in μB per formula unit: 0.00
ΔE_f (raw) in eV per formula unit: 0.977

Cell: 3.1331 3.1331 7.7554 Å, 90.00 90.00 90.00°
Space group P4mm (No. 99)
One atom of each set of equivalent atoms:
Sr  0.0000  0.0000  0.0000 x1
Re  0.0000  0.0000  0.4793 x1
Re  0.5000  0.5000  0.3035 x1
Se  0.5000  0.5000  0.6963 x1


[3]
A plane-wave DFT calculation with GGA-PBEsol was carried out for a geometry-optimized SrReSe structure.

Properties
Size of the total moment in μB per formula unit: 4.84
ΔE_f (raw) in eV per formula unit: 4.460

Cell: 7.1983 7.1983 7.1983 Å, 90.00 90.00 90.00°
Space group F-43m (No. 216)
One atom of each set of equivalent atoms:
Sr  0.0000  0.0000  0.0000 x4
Re  0.2500  0.2500  0.7500 x4
Se  0.2500  0.2500  0.2500 x4


[4]
A plane-wave DFT calculation with GGA-PBEsol was carried out for a geometry-optimized Sr2ReSe structure.

Properties
Size of the total moment in μB per formula unit: 0.61
ΔE_f (raw) in eV per formula unit: 0.287

Cell: 3.4053 5.2035 11.2354 Å, 90.00 90.00 90.00°
Space group Imm2 (No. 44)
One atom of each set of equivalent atoms:
Sr  0.0000  0.0000  0.0000 x2
Sr  0.0000  0.5000  0.1955 x2
Re  0.0000  0.0000  0.4285 x2
Se  0.0000  0.5000  0.7688 x2


[5]
A plane-wave DFT calculation with GGA-PBEsol was carried out for a geometry-optimized Sr2ReTeSe structure.

Properties
Size of the total moment in μB per formula unit: 1.42
ΔE_f (raw) in eV per formula unit: -1.030

Cell: 5.8732 5.8732 4.5227 Å, 90.00 90.00 90.00°
Space group P4/mmm (No. 123)
One atom of each set of equivalent atoms:
Sr  0.0000  0.5000  0.0000 x2
Re  0.0000  0.0000  0.5000 x1
Te  0.5000  0.5000  0.5000 x1
Se  0.0000  0.0000  0.0000 x1


[6]
A plane-wave DFT calculation with GGA-PBEsol was carried out for a geometry-optimized Ta2ReSe2 structure.

Properties
Size of the total moment in μB per formula unit: 0.00
ΔE_f (raw) in eV per formula unit: 2.293

Cell: 3.5937 3.5937 13.6248 Å, 90.00 90.00 90.00°
Space group I4/mmm (No. 139)
One atom of each set of equivalent atoms:
Ta  0.0000  0.0000  0.1031 x4
Re  0.0000  0.0000  0.5000 x2
Se  0.0000  0.5000  0.2500 x4


[7]
A plane-wave DFT calculation with GGA-PBEsol was carried out for a geometry-optimized Ta2ReSe structure.

Properties
Size of the total moment in μB per formula unit: 0.00
ΔE_f (raw) in eV per formula unit: 0.317

Cell: 4.5844 4.5844 3.1054 Å, 90.00 90.00 90.00°
Space group P4/mmm (No. 123)
One atom of each set of equivalent atoms:
Ta  0.0000  0.5000  0.0000 x2
Re  0.0000  0.0000  0.5000 x1
Se  0.5000  0.5000  0.5000 x1


[8]
A plane-wave DFT calculation with GGA-PBEsol was carried out for a geometry-optimized TaReSe2 structure.

Properties
Size of the total moment in μB per formula unit: 0.00
ΔE_f (raw) in eV per formula unit: 0.735

Cell: 3.1373 3.1373 6.2592 Å, 90.00 90.00 90.00°
Space group P4/mmm (No. 123)
One atom of each set of equivalent atoms:
Ta  0.0000  0.0000  0.0000 x1
Re  0.0000  0.0000  0.5000 x1
Se  0.5000  0.5000  0.2488 x2


[9]
A plane-wave DFT calculation with GGA-PBEsol was carried out for a geometry-optimized Ta2ReSe structure.

Properties
Size of the total moment in μB per formula unit: 0.00
ΔE_f (raw) in eV per formula unit: 0.063

Cell: 5.8727 7.2117 3.1226 Å, 90.00 97.80 90.00°
Space group C2/m (No. 12)
One atom of each set of equivalent atoms:
Ta  0.2500  0.2500  0.0000 x4
Re  0.0000  0.0000  0.5000 x2
Se  0.0000  0.5000  0.5000 x2


[10]
A plane-wave DFT calculation with GGA-PBEsol was carried out for a geometry-optimized ReTcSe4 structure.

Properties
Size of the total moment in μB per formula unit: 0.43
ΔE_f (raw) in eV per formula unit: 9.948

Cell: 7.5184 7.5184 7.5184 Å, 90.00 90.00 90.00°
Space group F-43m (No. 216)
One atom of each set of equivalent atoms:
Re  0.0000  0.0000  0.0000 x4
Tc  0.2500  0.2500  0.7500 x4
Se  0.1250  0.1250  0.3750 x16


[11]
A plane-wave DFT calculation with GGA-PBEsol was carried out for a geometry-optimized ReTcSe2 structure.

Properties
Size of the total moment in μB per formula unit: 0.00
ΔE_f (raw) in eV per formula unit: 3.212

Cell: 2.9791 4.0261 5.3612 Å, 90.00 90.00 90.00°
Space group Pmmm (No. 47)
One atom of each set of equivalent atoms:
Re  0.0000  0.0000  0.0000 x1
Tc  0.5000  0.0000  0.5000 x1
Se  0.0000  0.5000  0.5000 x1
Se  0.5000  0.5000  0.0000 x1


[12]
A plane-wave DFT calculation with GGA-PBEsol was carried out for a geometry-optimized Re3TcSe structure.

Properties
Size of the total moment in μB per formula unit: 0.02
ΔE_f (raw) in eV per formula unit: 11.870

Cell: 4.6235 4.6235 4.6235 Å, 90.00 90.00 90.00°
Space group Pm-3m (No. 221)
One atom of each set of equivalent atoms:
Re  0.0000  0.0000  0.5000 x3
Tc  0.0000  0.0000  0.0000 x1
Se  0.5000  0.5000  0.5000 x1


[13]
A plane-wave DFT calculation with GGA-PBEsol was carried out for a geometry-optimized ReTeSe2 structure.

Properties
Size of the total moment in μB per formula unit: 0.00
ΔE_f (raw) in eV per formula unit: 1.219

Cell: 3.1543 4.8257 11.0059 Å, 90.00 90.00 90.00°
Space group Immm (No. 71)
One atom of each set of equivalent atoms:
Re  0.0000  0.0000  0.0000 x2
Te  0.0000  0.0000  0.5000 x2
Se  0.0000  0.5000  0.3205 x4


[14]
A plane-wave DFT calculation with GGA-PBEsol was carried out for a geometry-optimized ReTe2Se2 structure.

Properties
Size of the total moment in μB per formula unit: 0.00
ΔE_f (raw) in eV per formula unit: 2.301

Cell: 3.4570 3.4570 19.9241 Å, 90.00 90.00 90.00°
Space group I4/mmm (No. 139)
One atom of each set of equivalent atoms:
Re  0.0000  0.0000  0.0000 x2
Te  0.0000  0.0000  0.4205 x4
Se  0.0000  0.5000  0.2500 x4


[15]
A plane-wave DFT calculation with GGA-PBEsol was carried out for a geometry-optimized Tl2ReSe structure.

Properties
E above lowest polymorph in eV/f.u.: 0.00
Size of the total moment in μB per formula unit: 0.00
ΔE_f (raw) in eV per formula unit: 3.402

Cell: 6.5033 8.4572 2.9324 Å, 90.00 90.15 90.00°
Space group C2/m (No. 12)
One atom of each set of equivalent atoms:
Tl  0.2500  0.2500  0.0000 x4
Re  0.0000  0.0000  0.5000 x2
Se  0.0000  0.5000  0.5000 x2


[16]
A plane-wave DFT calculation with GGA-PBEsol was carried out for a geometry-optimized Tl2Re3Se6 structure.

Properties
Size of the total moment in μB per formula unit: 0.00
ΔE_f (raw) in eV per formula unit: -4.439

Cell: 17.1625 9.8597 12.1671 Å, 90.00 90.99 90.00°
Space group C2/c (No. 15)
One atom of each set of equivalent atoms:
Tl  0.0000  0.0939  0.2500 x4
Tl  0.0000  0.2828  0.7500 x4
Tl  0.1032  0.2542  0.4861 x8
Re  0.1602  0.3496  0.0246 x8
Re  0.2052  0.1778  0.8715 x8
Re  0.2089  0.1064  0.0813 x8
Se  0.0373  0.4747  0.0828 x8
Se  0.0805  0.1378  0.9768 x8
Se  0.1417  0.0851  0.6922 x8
Se  0.1605  0.4159  0.8249 x8
Se  0.1688  0.2770  0.2234 x8
Se  0.2460  0.4469  0.5684 x8


[17]
A plane-wave DFT calculation with GGA-PBEsol was carried out for a geometry-optimized Tl2ReSe structure.

Properties
E above lowest polymorph in eV/f.u.: 0.16
Size of the total moment in μB per formula unit: 0.00
ΔE_f (raw) in eV per formula unit: 3.560

Cell: 3.5632 3.5632 6.3405 Å, 90.00 90.00 90.00°
Space group P4/mmm (No. 123)
One atom of each set of equivalent atoms:
Tl  0.0000  0.0000  0.2329 x2
Re  0.5000  0.5000  0.0000 x1
Se  0.5000  0.5000  0.5000 x1


[18]
A plane-wave DFT calculation with GGA-PBEsol was carried out for a geometry-optimized Tl3ReSe structure.

Properties
Size of the total moment in μB per formula unit: 3.70
ΔE_f (raw) in eV per formula unit: 8.059

Cell: 5.4566 5.4566 5.4566 Å, 90.00 90.00 90.00°
Space group Pm-3m (No. 221)
One atom of each set of equivalent atoms:
Tl  0.0000  0.0000  0.5000 x3
Re  0.5000  0.5000  0.5000 x1
Se  0.0000  0.0000  0.0000 x1


[19]
A plane-wave DFT calculation with GGA-PBEsol was carried out for a geometry-optimized Tl2ReSe structure.

Properties
E above lowest polymorph in eV/f.u.: 0.78
Size of the total moment in μB per formula unit: 2.57
ΔE_f (raw) in eV per formula unit: 4.178

Cell: 4.1224 4.1224 10.0503 Å, 90.00 90.00 90.00°
Space group I4/mmm (No. 139)
One atom of each set of equivalent atoms:
Tl  0.0000  0.5000  0.2500 x4
Re  0.0000  0.0000  0.0000 x2
Se  0.0000  0.0000  0.5000 x2


[20]
A plane-wave DFT calculation with GGA-PBEsol was carried out for a geometry-optimized TlRe3Se structure.

Properties
Size of the total moment in μB per formula unit: 1.20
ΔE_f (raw) in eV per formula unit: 9.029

Cell: 4.5456 4.5456 4.5456 Å, 90.00 90.00 90.00°
Space group Pm-3m (No. 221)
One atom of each set of equivalent atoms:
Tl  0.0000  0.0000  0.0000 x1
Re  0.0000  0.5000  0.5000 x3
Se  0.5000  0.5000  0.5000 x1